Record 1
VASP calculation (PBE) on HfCuSnHg after structural relaxation.

The space group is F-43m (No. 216) and the conventional cell measures 6.849, 6.849 and 6.849 Å, with angles of 90.00, 90.00 and 90.00 degrees. The asymmetric unit holds Hf at (0.000, 0.000, 0.000), Cu at (0.000, 0.000, 0.500), Sn at (0.250, 0.250, 0.250) and Hg at (0.250, 0.250, 0.750).

***

Record 2
VASP calculation (PBE) on HfTlCuHg after structural relaxation.

The space group is F-43m (No. 216) and the conventional cell measures 6.865, 6.865 and 6.865 Å, with angles of 90.00, 90.00 and 90.00 degrees. The asymmetric unit holds Hf at (0.000, 0.000, 0.000), Tl at (0.000, 0.000, 0.500), Cu at (0.250, 0.250, 0.750) and Hg at (0.250, 0.250, 0.250).

***

Record 3
VASP calculation (PBE) on HfTlCuHg after structural relaxation.

The space group is F-43m (No. 216) and the conventional cell measures 6.845, 6.845 and 6.845 Å, with angles of 90.00, 90.00 and 90.00 degrees. The asymmetric unit holds Hf at (0.000, 0.000, 0.000), Tl at (0.250, 0.250, 0.250), Cu at (0.000, 0.000, 0.500) and Hg at (0.250, 0.250, 0.750).

***

Record 4
VASP calculation (PBE) on HoHf2Cu4Si4 after structural relaxation.

The space group is Immm (No. 71) and the conventional cell measures 3.931, 6.499 and 13.109 Å, with angles of 90.00, 90.00 and 90.00 degrees. The asymmetric unit holds Ho at (0.000, 0.000, 0.000), Hf at (0.000, 0.500, 0.124), Cu at (0.000, 0.307, 0.329), Si at (0.000, 0.000, 0.220) and Si at (0.000, 0.183, 0.500).

***

Record 5
VASP calculation (PBE) on HoHfCu2Sn2 after structural relaxation.

The space group is P3m1 (No. 156) and the conventional cell measures 4.4932, 4.4932 and 6.8500 Å, with angles of 90.00, 90.00 and 120.00 degrees. The asymmetric unit holds Ho at (0.0000, 0.0000, 0.0000), Hf at (0.0000, 0.0000, 0.4988), Cu at (0.3333, 0.6667, 0.3310), Cu at (0.6667, 0.3333, 0.7994), Sn at (0.3333, 0.6667, 0.7306) and Sn at (0.6667, 0.3333, 0.2474).

***

Record 6
VASP calculation (PBE) on HfInCu2 after structural relaxation.

The space group is F-43m (No. 216) and the conventional cell measures 6.431, 6.431 and 6.431 Å, with angles of 90.00, 90.00 and 90.00 degrees. The asymmetric unit holds Hf at (0.000, 0.000, 0.000), In at (0.250, 0.250, 0.750), Cu at (0.000, 0.000, 0.500) and Cu at (0.250, 0.250, 0.250).

***

Number 1: calculated volume 20.1 Å³/atom, E_tot -4.33 eV per atom. Number 2: calculated volume 20.2 Å³/atom, E_tot -3.79 eV per atom. Number 3: calculated volume 20.0 Å³/atom, E_tot -3.84 eV per atom. Number 4: calculated volume 15.2 Å³/atom, E_tot -6.11 eV per atom. Number 5: calculated volume 20.0 Å³/atom, E_tot -5.42 eV per atom. Number 6: calculated volume 16.6 Å³/atom, E_tot -4.97 eV per atom.